VASP calculation (PBE) on an optimized crystal structure of PuZrPd.

Structure (CIF):
```
data_PuZrPd
_chemical_formula_sum 'Pu1 Zr1 Pd1'
_symmetry_space_group_name_H-M 'P 1'
_symmetry_Int_Tables_number 1
_symmetry_space_group_name_Hall 'P 1'
_cell_length_a 4.811
_cell_length_b 4.811
_cell_length_c 3.065
_cell_angle_alpha 90.00
_cell_angle_beta 90.00
_cell_angle_gamma 120.00
loop_
_atom_site_label
_atom_site_fract_x
_atom_site_fract_y
_atom_site_fract_z
_atom_site_occupancy
Pu1 0.000 0.000 0.000 1
Zr1 0.333 0.667 0.318 1
Pd1 0.667 0.333 0.678 1
```

## Properties
- energy relative to the lowest polymorph listed for this composition (eV/atom) = 0.089
- density of states at the Fermi level (states/eV per cell) = 5.774
- formation energy from the elements (eV per atom) = -0.15
- calculated volume (Å³/cell) = 61.4
- magnetic moment (μB/atom) = 1.865